1.
## Mg2CdRe (PBE)

Data for Mg2CdRe after structural relaxation.

```
data_Mg2CdRe
_cell_length_a 9.8560
_cell_length_b 2.8184
_cell_length_c 5.2438
_cell_angle_alpha 90.00
_cell_angle_beta 97.20
_cell_angle_gamma 90.00
_symmetry_space_group_name_H-M 'C 1 m 1'
_symmetry_Int_Tables_number 8
loop_
_symmetry_equiv_pos_as_xyz
'x,y,z'
'x,-y,z'
'x+1/2,y+1/2,z'
'x+1/2,-y+1/2,z'
loop_
_atom_site_label
_atom_site_type_symbol
_atom_site_fract_x
_atom_site_fract_y
_atom_site_fract_z
_atom_site_occupancy
Mg1 Mg 0.0000 0.0000 0.0000 1
Mg2 Mg 0.2409 0.0000 0.7177 1
Cd1 Cd 0.2515 0.5000 0.2462 1
Re1 Re 0.4975 0.0000 0.5086 1
```

The calculation puts the total DFT energy (no corrections) at -3.826 eV per atom.

2.
## ZrTi9Sn2 (PBE)

Data for ZrTi9Sn2 after structural relaxation.

```
data_ZrTi9Sn2
_cell_length_a 5.6860
_cell_length_b 5.6860
_cell_length_c 24.1131
_cell_angle_alpha 90.00
_cell_angle_beta 90.00
_cell_angle_gamma 120.00
_symmetry_space_group_name_H-M 'R -3 m'
_symmetry_Int_Tables_number 166
_symmetry_space_group_name_Hall '-R 3 2"'
loop_
_atom_site_label
_atom_site_type_symbol
_atom_site_fract_x
_atom_site_fract_y
_atom_site_fract_z
_atom_site_occupancy
Zr1 Zr 0.0000 0.0000 0.0000 1
Ti1 Ti 0.0000 0.0000 0.3329 1
Ti2 Ti 0.0000 0.0000 0.5000 1
Ti3 Ti 0.0054 0.5027 0.9172 1
Sn1 Sn 0.0000 0.0000 0.1367 1
```

The calculation puts the total DFT energy (no corrections) at -7.272 eV per atom.

3.
## LiURh4Se8 (PBE)

Data for LiURh4Se8 after structural relaxation.

```
data_LiURh4Se8
_cell_length_a 7.6951
_cell_length_b 7.6951
_cell_length_c 17.6123
_cell_angle_alpha 90.00
_cell_angle_beta 90.00
_cell_angle_gamma 120.00
_symmetry_space_group_name_H-M 'R 3 m'
_symmetry_Int_Tables_number 160
_symmetry_space_group_name_Hall 'R 3 -2"'
loop_
_atom_site_label
_atom_site_type_symbol
_atom_site_fract_x
_atom_site_fract_y
_atom_site_fract_z
_atom_site_occupancy
Li1 Li 0.0000 0.0000 0.0000 1
U1 U 0.0000 0.0000 0.3818 1
Rh1 Rh 0.0000 0.0000 0.7527 1
Rh2 Rh 0.0010 0.5005 0.8777 1
Se1 Se 0.0000 0.0000 0.1408 1
Se2 Se 0.0000 0.0000 0.6154 1
Se3 Se 0.0023 0.5012 0.1398 1
Se4 Se 0.1733 0.3467 0.9521 1
```

The calculation puts the total DFT energy (no corrections) at -5.636 eV per atom. For the uncorrected formation energy, the calculation gives -0.60 eV per atom.

4.
## Pm2DyNi9 (PBE)

Data for Pm2DyNi9 after structural relaxation.

```
data_Pm2DyNi9
_cell_length_a 4.9893
_cell_length_b 4.9893
_cell_length_c 24.7103
_cell_angle_alpha 90.00
_cell_angle_beta 90.00
_cell_angle_gamma 120.00
_symmetry_space_group_name_H-M 'R -3 m'
_symmetry_Int_Tables_number 166
_symmetry_space_group_name_Hall '-R 3 2"'
loop_
_atom_site_label
_atom_site_type_symbol
_atom_site_fract_x
_atom_site_fract_y
_atom_site_fract_z
_atom_site_occupancy
Pm1 Pm 0.0000 0.0000 0.1382 1
Dy1 Dy 0.0000 0.0000 0.0000 1
Ni1 Ni 0.0000 0.0000 0.3329 1
Ni2 Ni 0.0000 0.0000 0.5000 1
Ni3 Ni 0.0005 0.5002 0.0803 1
```

The calculation puts the total DFT energy (no corrections) at -5.866 eV per atom.

5.
## SmEr2Si2 (PBE)

Data for SmEr2Si2 after structural relaxation.

```
data_SmEr2Si2
_cell_length_a 5.5973
_cell_length_b 4.0789
_cell_length_c 11.2629
_cell_angle_alpha 90.00
_cell_angle_beta 95.52
_cell_angle_gamma 90.00
_symmetry_space_group_name_H-M 'P 1 21/m 1'
_symmetry_Int_Tables_number 11
loop_
_symmetry_equiv_pos_as_xyz
'x,y,z'
'-x,-y,-z'
'-x,y+1/2,-z'
'x,-y+1/2,z'
loop_
_atom_site_label
_atom_site_type_symbol
_atom_site_fract_x
_atom_site_fract_y
_atom_site_fract_z
_atom_site_occupancy
Sm1 Sm 0.0976 0.2500 0.2805 1
Er1 Er 0.2490 0.2500 0.9464 1
Er2 Er 0.4038 0.2500 0.6277 1
Si1 Si 0.1250 0.7500 0.4791 1
Si2 Si 0.2654 0.7500 0.1242 1
```

The calculation puts the total DFT energy (no corrections) at -5.441 eV per atom. For the uncorrected formation energy, the calculation gives -0.50 eV per atom.

6.
## Rb2SmBiO4 (PBE)

Data for Rb2SmBiO4 after structural relaxation.

```
data_Rb2SmBiO4
_cell_length_a 6.2905
_cell_length_b 3.6309
_cell_length_c 6.9204
_cell_angle_alpha 90.00
_cell_angle_beta 107.55
_cell_angle_gamma 90.00
_symmetry_space_group_name_H-M 'P 1 2/m 1'
_symmetry_Int_Tables_number 10
loop_
_symmetry_equiv_pos_as_xyz
'x,y,z'
'-x,-y,-z'
'-x,y,-z'
'x,-y,z'
loop_
_atom_site_label
_atom_site_type_symbol
_atom_site_fract_x
_atom_site_fract_y
_atom_site_fract_z
_atom_site_occupancy
Rb1 Rb 0.0000 0.0000 0.0000 1
Rb2 Rb 0.5000 0.5000 0.0000 1
Sm1 Sm 0.0000 0.5000 0.5000 1
Bi1 Bi 0.5000 0.0000 0.5000 1
O1 O 0.2207 0.0000 0.6820 1
O2 O 0.2629 0.5000 0.3119 1
```

The calculation puts the total DFT energy (no corrections) at -5.743 eV per atom. For the uncorrected formation energy, the calculation gives -1.95 eV per atom.

7.
## AlAsSeN2 (PBE)

Data for AlAsSeN2 after structural relaxation.

```
data_AlAsSeN2
_cell_length_a 3.8780
_cell_length_b 3.8780
_cell_length_c 5.0870
_cell_angle_alpha 90.00
_cell_angle_beta 90.00
_cell_angle_gamma 90.00
_symmetry_space_group_name_H-M 'P 4/m m m'
_symmetry_Int_Tables_number 123
_symmetry_space_group_name_Hall '-P 4 2'
loop_
_atom_site_label
_atom_site_type_symbol
_atom_site_fract_x
_atom_site_fract_y
_atom_site_fract_z
_atom_site_occupancy
Al1 Al 0.0000 0.0000 0.0000 1
As1 As 0.5000 0.5000 0.0000 1
Se1 Se 0.0000 0.0000 0.5000 1
N1 N 0.0000 0.5000 0.5000 1
```

For the relative energy among the computed polymorphs, the calculation gives 684 meV per atom. The calculation puts the total DFT energy (no corrections) at -4.201 eV per atom. For the uncorrected formation energy, the calculation gives 1.50 eV per atom.

8.
## Mg2CrRh (PBE)

Data for Mg2CrRh after structural relaxation.

```
data_Mg2CrRh
_cell_length_a 3.2427
_cell_length_b 3.2427
_cell_length_c 6.3322
_cell_angle_alpha 90.00
_cell_angle_beta 90.00
_cell_angle_gamma 90.00
_symmetry_space_group_name_H-M 'P 4/m m m'
_symmetry_Int_Tables_number 123
_symmetry_space_group_name_Hall '-P 4 2'
loop_
_atom_site_label
_atom_site_type_symbol
_atom_site_fract_x
_atom_site_fract_y
_atom_site_fract_z
_atom_site_occupancy
Mg1 Mg 0.0000 0.0000 0.2267 1
Cr1 Cr 0.5000 0.5000 0.5000 1
Rh1 Rh 0.5000 0.5000 0.0000 1
```

For the relative energy among the computed polymorphs, the calculation gives 40 meV per atom. The calculation puts the total DFT energy (no corrections) at -5.058 eV per atom.

9.
## UGe2Rh (PBE)

Data for UGe2Rh after structural relaxation.

```
data_UGe2Rh
_cell_length_a 4.3710
_cell_length_b 8.7899
_cell_length_c 15.8564
_cell_angle_alpha 90.00
_cell_angle_beta 90.00
_cell_angle_gamma 90.00
_symmetry_space_group_name_H-M 'I m m m'
_symmetry_Int_Tables_number 71
_symmetry_space_group_name_Hall '-I 2 2'
loop_
_atom_site_label
_atom_site_type_symbol
_atom_site_fract_x
_atom_site_fract_y
_atom_site_fract_z
_atom_site_occupancy
U1 U 0.0000 0.0000 0.2053 1
U2 U 0.0000 0.2280 0.0000 1
Ge1 Ge 0.0000 0.0000 0.4236 1
Ge2 Ge 0.0000 0.3470 0.1962 1
Ge3 Ge 0.0000 0.5000 0.4229 1
Rh1 Rh 0.0000 0.2480 0.3525 1
```

The calculation puts the total DFT energy (no corrections) at -7.429 eV per atom.

10.
## LiLa14Pr (PBE)

Data for LiLa14Pr after structural relaxation.

```
data_LiLa14Pr
_cell_length_a 7.3602
_cell_length_b 7.3602
_cell_length_c 10.5341
_cell_angle_alpha 90.00
_cell_angle_beta 90.00
_cell_angle_gamma 90.00
_symmetry_space_group_name_H-M 'P 4/m m m'
_symmetry_Int_Tables_number 123
_symmetry_space_group_name_Hall '-P 4 2'
loop_
_atom_site_label
_atom_site_type_symbol
_atom_site_fract_x
_atom_site_fract_y
_atom_site_fract_z
_atom_site_occupancy
Li1 Li 0.0000 0.0000 0.0000 1
La1 La 0.0000 0.0000 0.5000 1
La2 La 0.0000 0.5000 0.0000 1
La3 La 0.0000 0.5000 0.5000 1
La4 La 0.2478 0.2478 0.2478 1
La5 La 0.5000 0.5000 0.5000 1
Pr1 Pr 0.5000 0.5000 0.0000 1
```

The calculation puts the total DFT energy (no corrections) at -4.706 eV per atom.

11.
## Sc2MoW4 (PBE)

Data for Sc2MoW4 after structural relaxation.

```
data_Sc2MoW4
_cell_length_a 4.7004
_cell_length_b 4.7004
_cell_length_c 13.9143
_cell_angle_alpha 90.00
_cell_angle_beta 90.00
_cell_angle_gamma 90.00
_symmetry_space_group_name_H-M 'I 4/m m m'
_symmetry_Int_Tables_number 139
_symmetry_space_group_name_Hall '-I 4 2'
loop_
_atom_site_label
_atom_site_type_symbol
_atom_site_fract_x
_atom_site_fract_y
_atom_site_fract_z
_atom_site_occupancy
Sc1 Sc 0.0000 0.0000 0.1305 1
Mo1 Mo 0.0000 0.0000 0.5000 1
W1 W 0.0000 0.0000 0.3244 1
W2 W 0.0000 0.5000 0.0000 1
```

The calculation puts the total DFT energy (no corrections) at -9.077 eV per atom.

12.
## Ba2HgN (PBE)

Data for Ba2HgN after structural relaxation.

```
data_Ba2HgN
_cell_length_a 4.0684
_cell_length_b 4.0684
_cell_length_c 26.4499
_cell_angle_alpha 90.00
_cell_angle_beta 90.00
_cell_angle_gamma 120.00
_symmetry_space_group_name_H-M 'R -3 m'
_symmetry_Int_Tables_number 166
_symmetry_space_group_name_Hall '-R 3 2"'
loop_
_atom_site_label
_atom_site_type_symbol
_atom_site_fract_x
_atom_site_fract_y
_atom_site_fract_z
_atom_site_occupancy
Ba1 Ba 0.0000 0.0000 0.2241 1
Hg1 Hg 0.0000 0.0000 0.0000 1
N1 N 0.0000 0.0000 0.5000 1
```

For the relative energy among the computed polymorphs, the calculation gives 1 meV per atom. The calculation puts the total DFT energy (no corrections) at -3.523 eV per atom. For the uncorrected formation energy, the calculation gives -0.41 eV per atom.

What is the total DFT energy (no corrections) in the first record? -3.826 eV per atom

Look up the total DFT energy (no corrections) of the sixth one. -5.743 eV per atom

Which of these has the lowest total DFT energy (no corrections)? Sc2MoW4